# Pu2MnTe2O2 GGA+U optimized geometry
data_Pu2MnTe2O2
_cell_length_a 11.8915
_cell_length_b 3.9385
_cell_length_c 7.6012
_cell_angle_alpha 90.00
_cell_angle_beta 122.65
_cell_angle_gamma 90.00
_space_group_name_H-M_alt 'C 1 2/m 1'
_space_group_IT_number 12
_space_group_name_Hall '-C 2y'
loop_
_atom_site_label
_atom_site_fract_x
_atom_site_fract_y
_atom_site_fract_z
Pu1 0.1877 0.0000 0.2667
Mn1 0.0000 0.0000 0.5000
Te1 0.0691 0.5000 0.8351
O1 0.2009 0.0000 0.5801
# spin magnetization	2.14	μB/atom
# theoretical density	9.2	g/cm3
# DFT total energy	-130.0	eV for the cell shown